P.
VASP calculation (PBE) on ErTmGaPd after structural relaxation.

Results
The calculation puts the total moment at 0.00 μB/cell.

Unit cell a=3.679 b=4.466 c=5.738 alpha=90.00 beta=108.70 gamma=90.00
Atoms (fractional coordinates):
Ga 0.421 0.000 0.843
Er 0.144 0.000 0.288
Pd 0.576 0.500 0.153
Tm 0.858 0.500 0.717



Q.
VASP calculation (PBE) on ErTmGaPd after structural relaxation.

Results
The calculation puts the total moment at 0.00 μB/cell.

Unit cell a=4.964 b=4.964 c=4.964 alpha=60.00 beta=60.00 gamma=60.00
Atoms (fractional coordinates):
Pd 0.250 0.250 0.250
Ga 0.750 0.750 0.750
Tm 0.500 0.500 0.500
Er 0.000 0.000 0.000



Most stable of them? P.